1.
The following is a PBE-GGA calculation of an optimized crystal structure of ErAlGaCo, from the Open Quantum Materials Database.

- relative energy among the computed polymorphs (meV per atom) = 4
- electronic total energy (eV per atom) = -5.15
- total moment (μB per atom) = 0.001

a b c (Å): 6.918 5.332 5.332
angles (deg): 44.21 90.00 90.00
Sites, in units of the cell vectors:
Al (0.195, 0.656, 0.656)
Al (0.805, 0.656, 0.656)
Co (0.000, 0.210, 0.210)
Co (0.500, 0.782, 0.782)
Er (0.500, 0.064, 0.064)
Er (0.000, 0.936, 0.936)
Ga (0.303, 0.348, 0.348)
Ga (0.697, 0.348, 0.348)

2.
The following is a PBE-GGA calculation of an optimized crystal structure of HfTh, from the Open Quantum Materials Database.

- relative energy among the computed polymorphs (meV per atom) = 0
- electronic total energy (eV per atom) = -8.51
- energy relative to the elements (eV/atom) = 0.170
- total moment (μB per atom) = 0.001

a b c (Å): 3.345 3.345 5.553
angles (deg): 90.00 90.00 120.00
Sites, in units of the cell vectors:
Hf (0.667, 0.333, 0.750)
Th (0.333, 0.667, 0.250)

3.
The following is a PBE-GGA calculation of an optimized crystal structure of RbZrO3, from the Open Quantum Materials Database.

- electronic total energy (eV per atom) = -7.18
- total moment (μB per atom) = 0.200

a b c (Å): 5.906 5.906 6.832
angles (deg): 64.39 64.39 60.00
Sites, in units of the cell vectors:
O (0.559, 0.135, 0.302)
O (0.004, 0.559, 0.302)
O (0.135, 0.004, 0.302)
O (0.865, 0.996, 0.698)
O (0.996, 0.441, 0.698)
O (0.441, 0.865, 0.698)
Rb (0.629, 0.629, 0.112)
Rb (0.371, 0.371, 0.888)
Zr (0.838, 0.838, 0.487)
Zr (0.162, 0.162, 0.513)

4.
The following is a PBE-GGA calculation of an optimized crystal structure of Na4TaRe2, from the Open Quantum Materials Database.

- electronic total energy (eV per atom) = -4.55
- total moment (μB per atom) = 0.170

a b c (Å): 7.575 7.575 2.502
angles (deg): 90.03 90.03 92.20
Sites, in units of the cell vectors:
Na (0.708, 0.292, 0.000)
Na (0.292, 0.708, 0.000)
Na (0.301, 0.301, 0.494)
Na (0.699, 0.699, 0.506)
Re (0.500, 0.000, 0.500)
Re (0.000, 0.500, 0.500)
Ta (0.000, 0.000, 0.000)

5.
The following is a PBE-GGA calculation of an optimized crystal structure of TbDyMg2Sn2, from the Open Quantum Materials Database.

- electronic total energy (eV per atom) = -3.97
- total moment (μB per atom) = 0.001

a b c (Å): 8.537 8.537 8.537
angles (deg): 150.14 150.14 42.73
Sites, in units of the cell vectors:
Dy (0.667, 0.667, 0.000)
Mg (0.500, 0.000, 0.500)
Mg (0.000, 0.500, 0.500)
Sn (0.136, 0.136, 0.000)
Sn (0.864, 0.864, 0.000)
Tb (0.333, 0.333, 0.000)

6.
The following is a PBE-GGA calculation of an optimized crystal structure of BaAgTe2, from the Open Quantum Materials Database.

- electronic total energy (eV per atom) = -3.17

a b c (Å): 5.620 5.620 5.620
angles (deg): 60.00 60.00 60.00
Sites, in units of the cell vectors:
Ag (0.750, 0.750, 0.750)
Ba (0.500, 0.500, 0.500)
Te (0.000, 0.000, 0.000)
Te (0.250, 0.250, 0.250)

7.
The following is a PBE-GGA calculation of an optimized crystal structure of ZrBe, from the Open Quantum Materials Database.

- electronic total energy (eV per atom) = -5.89
- total moment (μB per atom) = 0.001

a b c (Å): 5.336 5.256 4.717
angles (deg): 90.00 90.00 90.00
Sites, in units of the cell vectors:
Be (0.021, 0.377, 0.000)
Be (0.521, 0.873, 0.000)
Be (0.313, 0.377, 0.500)
Be (0.813, 0.873, 0.500)
Zr (0.496, 0.373, 0.000)
Zr (0.996, 0.877, 0.000)
Zr (0.838, 0.373, 0.500)
Zr (0.338, 0.877, 0.500)

8.
The following is a PBE-GGA calculation of an optimized crystal structure of SmBeW, from the Open Quantum Materials Database.

- relative energy among the computed polymorphs (meV per atom) = 1019
- electronic total energy (eV per atom) = -5.24
- total moment (μB per atom) = 0.952

a b c (Å): 4.672 4.672 4.672
angles (deg): 60.00 60.00 60.00
Sites, in units of the cell vectors:
Be (0.250, 0.250, 0.250)
Sm (0.000, 0.000, 0.000)
W (0.750, 0.750, 0.750)